PBE-GGA Ac3TlGa2Pd6, optimized geometry; space-group type = No. 164; V = 280 Å³ per cell; energy of formation = -614 meV per atom
1.0
5.972 0.000 0.000
-2.986 5.172 0.000
0.000 0.000 9.073
Ac Tl Ga Pd
3 1 2 6
direct
0.333 0.667 0.636 Ac
0.667 0.333 0.364 Ac
0.000 0.000 0.000 Ac
0.000 0.000 0.500 Tl
0.667 0.333 0.968 Ga
0.333 0.667 0.032 Ga
0.645 0.823 0.268 Pd
0.177 0.355 0.268 Pd
0.177 0.823 0.268 Pd
0.823 0.645 0.732 Pd
0.355 0.177 0.732 Pd
0.823 0.177 0.732 Pd